[1]
Below is a crystal of NbReSN2 relaxed with PBEsol, with properties calculated at the SCAN level.

Crystal system = tetragonal
Space group = P4/mmm

a b c (Å): 3.805 3.805 4.810
angles (deg): 90.00 90.00 90.00
Positions (direct):
Nb 0.000 0.000 0.000
Re 0.500 0.500 0.500
S 0.500 0.500 0.000
N 0.000 0.500 0.500
N 0.500 0.000 0.500

=====

[2]
Below is a crystal of NbRh3N relaxed with PBEsol, with properties calculated at the SCAN level.

Crystal system = cubic
Space group = Pm-3m

a b c (Å): 4.033 4.033 4.033
angles (deg): 90.00 90.00 90.00
Positions (direct):
Nb 0.000 0.000 0.000
Rh 0.000 0.500 0.500
Rh 0.500 0.000 0.500
Rh 0.500 0.500 0.000
N 0.500 0.500 0.500

=====

[3]
Below is a crystal of NbRhN2 relaxed with PBEsol, with properties calculated at the SCAN level.

Crystal system = trigonal
Polymorph energy (0 for the lowest one) = 0.000 eV/atom
Space group = R-3m

a b c (Å): 6.406 6.406 6.406
angles (deg): 27.52 27.52 27.52
Positions (direct):
Nb 0.000 0.000 0.000
Rh 0.500 0.500 0.500
N 0.395 0.395 0.395
N 0.605 0.605 0.605

=====

[4]
Below is a crystal of NbRhN2 relaxed with PBEsol, with properties calculated at the SCAN level.

Crystal system = cubic
Polymorph energy (0 for the lowest one) = 0.599 eV/atom
Space group = Fm-3m

a b c (Å): 3.835 3.835 3.835
angles (deg): 60.00 60.00 60.00
Positions (direct):
Nb 0.000 0.000 0.000
Rh 0.500 0.500 0.500
N 0.250 0.250 0.250
N 0.750 0.750 0.750

=====

[5]
Below is a crystal of NbTeRuN2 relaxed with PBEsol, with properties calculated at the SCAN level.

Crystal system = tetragonal
Space group = P4/mmm

a b c (Å): 3.950 3.950 5.813
angles (deg): 90.00 90.00 90.00
Positions (direct):
Nb 0.000 0.000 0.000
Te 0.000 0.000 0.500
Ru 0.500 0.500 0.500
N 0.000 0.500 0.000
N 0.500 0.000 0.000

=====

[6]
Below is a crystal of Nb3SN relaxed with PBEsol, with properties calculated at the SCAN level.

Crystal system = cubic
Space group = Pm-3m

a b c (Å): 4.197 4.197 4.197
angles (deg): 90.00 90.00 90.00
Positions (direct):
Nb 0.000 0.000 0.500
Nb 0.000 0.500 0.000
Nb 0.500 0.000 0.000
S 0.500 0.500 0.500
N 0.000 0.000 0.000

=====

[7]
Below is a crystal of NbSeSN2 relaxed with PBEsol, with properties calculated at the SCAN level.

Crystal system = tetragonal
Space group = P4/mmm

a b c (Å): 3.797 3.797 4.528
angles (deg): 90.00 90.00 90.00
Positions (direct):
Nb 0.000 0.000 0.000
Se 0.500 0.500 0.500
S 0.500 0.500 0.000
N 0.000 0.500 0.500
N 0.500 0.000 0.500

=====

[8]
Below is a crystal of NbTcS2N relaxed with PBEsol, with properties calculated at the SCAN level.

Crystal system = tetragonal
Space group = P4/mmm

a b c (Å): 4.860 4.860 3.858
angles (deg): 90.00 90.00 90.00
Positions (direct):
Nb 0.000 0.000 0.000
Tc 0.500 0.500 0.500
S 0.000 0.500 0.000
S 0.500 0.000 0.000
N 0.000 0.000 0.500

=====

Looking at energy relative to the elements, uncorrected for the records above, in order, we have 0.49, 0.10, -0.28, 0.32, 0.79, -0.22, 1.33, 0.31 eV per atom.